Record 1
Here is a relaxed structure of Cu2MoIr from Alexandria via LeMat-Bulk. Energies are from GGA-PBE.

Calculated values
- calculated volume (Å³ per cell) = 55
- uncorrected energy (eV per atom) = -6.847
- calculated density (g cm⁻³) = 12.433
- crystal system = monoclinic
- energy of formation (eV per atom) = 0.12

a = 4.6897 Å, b = 4.6897 Å, c = 4.5764 Å
α = 80.31°, β = 80.31°, γ = 34.04°
Last column: nearest neighbours and their distance in Å.
Fractional positions:
Cu 0.4985 0.4985 0.4995  6 Cu 2.66-2.75, 3 Mo 2.68-2.71, 3 Ir 2.70
Cu 0.0015 0.0015 0.0005  6 Cu 2.66-2.75, 3 Mo 2.68-2.71, 3 Ir 2.70
Ir 0.7500 0.7500 0.7500  4 Mo 2.67, 6 Cu 2.70, 2 Ir 2.75
Mo 0.2500 0.2500 0.2500  4 Ir 2.67, 6 Cu 2.68-2.71, 2 Mo 2.75

***

Record 2
Here is a relaxed structure of Ba2YRh from Alexandria via LeMat-Bulk. Energies are from GGA-PBE.

Calculated values
- calculated volume (Å³ per cell) = 126
- uncorrected energy (eV per atom) = -4.133
- calculated density (g cm⁻³) = 6.155
- crystal system = tetragonal
- energy of formation (eV per atom) = 0.28

a = 4.6721 Å, b = 4.6721 Å, c = 5.7655 Å
α = 90.00°, β = 90.00°, γ = 89.99°
Last column: nearest neighbours and their distance in Å.
Fractional positions:
Ba 0.5000 0.5000 0.0000  4 Ba 3.30
Ba 0.0000 0.0000 0.0000  4 Ba 3.30
Rh 0.5000 0.0000 0.5000  4 Y 3.30
Y 0.0000 0.5000 0.5000  4 Rh 3.30

***

Record 3
Here is a relaxed structure of LiCoNi from Alexandria via LeMat-Bulk. Energies are from GGA-PBE.

Calculated values
- calculated volume (Å³ per cell) = 34
- uncorrected energy (eV per atom) = -4.851
- calculated density (g cm⁻³) = 6.018
- crystal system = trigonal
- energy of formation (eV per atom) = 0.08

a = 2.4945 Å, b = 2.4945 Å, c = 6.3779 Å
α = 90.00°, β = 90.00°, γ = 120.00°
Last column: nearest neighbours and their distance in Å.
Fractional positions:
Co 0.0000 0.0000 0.9892  3 Ni 2.47, 6 Co 2.49, 3 Li 2.64
Li 0.3333 0.6667 0.3362  6 Li 2.49, 3 Ni 2.59, 3 Co 2.64
Ni 0.6667 0.3333 0.6746  3 Co 2.47, 6 Ni 2.49, 3 Li 2.59

***

Record 4
Here is a relaxed structure of Co8RhS8 from Alexandria via LeMat-Bulk. Energies are from GGA-PBE.

Calculated values
- calculated volume (Å³ per cell) = 242
- uncorrected energy (eV per atom) = -6.231
- calculated density (g cm⁻³) = 5.694
- raw formation energy (eV per formula unit) = -8.7
- crystal system = cubic

a = 6.9980 Å, b = 6.9980 Å, c = 6.9980 Å
α = 60.00°, β = 60.00°, γ = 60.00°
Last column: nearest neighbours and their distance in Å.
Fractional positions:
S 0.2560 0.7440 0.2560  4 Co 2.19, 1 Rh 2.41
S 0.2560 0.7440 0.7440  4 Co 2.19, 1 Rh 2.41
S 0.7440 0.2560 0.2560  4 Co 2.19, 1 Rh 2.41
S 0.7500 0.7500 0.7500  4 Co 2.12
S 0.2560 0.2560 0.7440  4 Co 2.19, 1 Rh 2.41
S 0.2500 0.2500 0.2500  4 Co 2.12
S 0.7440 0.2560 0.7440  4 Co 2.19, 1 Rh 2.41
S 0.7440 0.7440 0.2560  4 Co 2.19, 1 Rh 2.41
Rh 0.5000 0.5000 0.5000  6 S 2.41
Co 0.1265 0.1265 0.1265  4 S 2.12-2.19
Co 0.8735 0.8735 0.8735  4 S 2.12-2.19
Co 0.1265 0.6205 0.1265  4 S 2.12-2.19
Co 0.8735 0.3795 0.8735  4 S 2.12-2.19
Co 0.6205 0.1265 0.1265  4 S 2.12-2.19
Co 0.8735 0.8735 0.3795  4 S 2.12-2.19
Co 0.3795 0.8735 0.8735  4 S 2.12-2.19
Co 0.1265 0.1265 0.6205  4 S 2.12-2.19